Entry 1:
4
Lattice="4.875 0.000 0.000 0.000 4.875 0.000 0.000 0.000 3.655" Properties=species:S:1:pos:R:3 comment="In2ReTe (PBE, optimized geometry)" space_group="No. 123" formation_energy_uncorrected_mev_per_atom=789 pbc="T T T"
In 0.000 2.438 0.000
In 2.438 0.000 0.000
Re 0.000 0.000 1.828
Te 2.438 2.438 1.828



Entry 2:
9
Lattice="-3.563 3.563 4.318 3.563 -3.563 4.318 3.563 3.563 -4.318" Properties=species:S:1:pos:R:3 comment="Tb2Ce2AlGa4 (PBE, optimized geometry)" space_group="No. 139" delta_e_f_mev_per_atom=-206 pbc="T T T"
Tb 3.563 0.000 2.159
Tb 0.000 3.563 2.159
Ce 0.000 0.000 1.517
Ce 0.000 0.000 7.119
Al 0.000 0.000 4.318
Ga 1.835 1.835 0.000
Ga 1.729 -1.729 4.318
Ga -1.729 1.729 4.318
Ga 1.729 1.729 4.318



Entry 3:
10
Lattice="5.212 -3.435 0.000 5.212 3.435 0.000 -2.669 0.000 8.793" Properties=species:S:1:pos:R:3 comment="CePrEr3 (PBE, optimized geometry)" space_group="No. 12" delta_e_f_mev_per_atom=76 pbc="T T T"
Ce 0.861 0.000 0.996
Ce 6.893 0.000 7.798
Pr 0.955 0.000 8.120
Pr 6.799 0.000 0.673
Er 3.854 1.674 2.667
Er 1.247 0.000 4.526
Er 3.899 1.674 6.126
Er 3.854 -1.674 2.667
Er 6.506 0.000 4.267
Er 3.899 -1.674 6.126



Number 1: Fermi-level density of states 2.5 states/eV/f.u., total magnetization 0.000 Bohr magnetons per cell, V 21.72 Å³/atom. Number 2: Fermi-level density of states 14.0 states/eV/f.u., total magnetization 1.751 Bohr magnetons per cell, V 24.37 Å³/atom. Number 3: Fermi-level density of states 9.2 states/eV/f.u., total magnetization 0.003 Bohr magnetons per cell, V 31.48 Å³/atom.